No. 1
The following is a PBE calculation of a geometry-optimized PrGdNO structure, from the Open Quantum Materials Database.

The magnetization is 0.01 μB/cell. The total energy is -7.7732 eV per atom.

The structure belongs to space group Pmma (No. 51); the cell edges are 5.052, 4.105 and 7.087 Å and the angles 90.00°, 90.00° and 90.00°. Symmetry generates all atoms from Pr at (0.250, 0.000, 0.165), Gd at (0.250, 0.500, 0.666), N at (0.250, 0.500, 0.344) and O at (0.250, 0.000, 0.810).

=====

No. 2
The following is a PBE calculation of a geometry-optimized PrGdNO structure, from the Open Quantum Materials Database.

The magnetization is 0.01 μB/cell. The total energy is -7.7961 eV per atom.

The structure belongs to space group P4/nmm (No. 129, origin choice 2); the cell edges are 5.049, 5.049 and 4.974 Å and the angles 90.00°, 90.00° and 90.00°. Symmetry generates all atoms from Pr at (0.250, 0.750, 0.000), Gd at (0.250, 0.250, 0.499), N at (0.250, 0.250, 0.000) and O at (0.250, 0.750, 0.500).

=====

No. 3
The following is a PBE calculation of a geometry-optimized PrGdNO structure, from the Open Quantum Materials Database.

The magnetization is 0.02 μB/cell. The total energy is -7.7545 eV per atom.

The structure belongs to space group Pbcm (No. 57); the cell edges are 8.304, 6.838 and 5.106 Å and the angles 90.00°, 90.00° and 90.00°. Symmetry generates all atoms from Pr at (0.126, 0.069, 0.250), Gd at (0.377, 0.584, 0.250), N at (0.382, 0.578, 0.750) and O at (0.141, 0.087, 0.750).

=====

No. 4
The following is a PBE calculation of a geometry-optimized PrGdNO structure, from the Open Quantum Materials Database.

The magnetization is 0.01 μB/cell. The total energy is -7.7131 eV per atom.

The structure belongs to space group Pbcm (No. 57); the cell edges are 8.328, 6.935 and 5.121 Å and the angles 90.00°, 90.00° and 90.00°. Symmetry generates all atoms from Pr at (0.129, 0.081, 0.250), Gd at (0.380, 0.576, 0.250), N at (0.135, 0.064, 0.750) and O at (0.382, 0.597, 0.750).

=====

No. 5
The following is a PBE calculation of a geometry-optimized RbGdNO structure, from the Open Quantum Materials Database.

The magnetization is 1.88 μB/cell. The total energy is -5.2799 eV per atom.

The structure belongs to space group P4/nmm (No. 129, origin choice 2); the cell edges are 4.762, 4.762 and 8.404 Å and the angles 90.00°, 90.00° and 90.00°. Symmetry generates all atoms from Rb at (0.250, 0.250, 0.136), Gd at (0.250, 0.750, 0.500), N at (0.250, 0.250, 0.519) and O at (0.250, 0.750, 0.000).

=====

No. 6
The following is a PBE calculation of a geometry-optimized RbGdNO structure, from the Open Quantum Materials Database.

The magnetization is 2.00 μB/cell. The total energy is -5.9275 eV per atom.

The structure belongs to space group Pmc2_1 (No. 26); the cell edges are 3.735, 7.572 and 6.697 Å and the angles 90.00°, 90.00° and 90.00°. Symmetry generates all atoms from Rb at (0.000, 0.171, 0.000), Gd at (0.500, 0.334, 0.490), N at (0.500, 0.409, 0.818) and O at (0.000, 0.193, 0.431).

=====

No. 7
The following is a PBE calculation of a geometry-optimized RbGdNO structure, from the Open Quantum Materials Database.

The magnetization is 2.00 μB/cell. The total energy is -5.3175 eV per atom.

The structure belongs to space group P4/nmm (No. 129, origin choice 2); the cell edges are 4.663, 4.663 and 9.729 Å and the angles 90.00°, 90.00° and 90.00°. Symmetry generates all atoms from Rb at (0.250, 0.250, 0.134), Gd at (0.250, 0.750, 0.500), N at (0.250, 0.250, 0.455) and O at (0.250, 0.750, 0.000).

=====

No. 8
The following is a PBE calculation of a geometry-optimized RbGdNO structure, from the Open Quantum Materials Database.

The magnetization is 2.00 μB/cell. The total energy is -5.4575 eV per atom.

The structure belongs to space group P4/nmm (No. 129, origin choice 2); the cell edges are 4.048, 4.048 and 8.961 Å and the angles 90.00°, 90.00° and 90.00°. Symmetry generates all atoms from Rb at (0.250, 0.750, 0.000), Gd at (0.250, 0.250, 0.383), N at (0.250, 0.250, 0.783) and O at (0.250, 0.750, 0.500).

=====

no.,relative energy among the computed polymorphs (eV per atom)
1,0.0229
2,0.0000
3,0.0416
4,0.0830
5,0.6561
6,0.0085
7,0.6185
8,0.4785